DFT (PBE) results for FeBP2Ru after structural relaxation.

The structure in POSCAR format:
```
FeBP2Ru
1.0
4.0552 0.0000 0.0000
0.0000 4.0552 0.0000
0.0000 0.0000 3.8690
Fe B P Ru
1 1 2 1
Cartesian
0.0000 0.0000 0.0000
2.0276 2.0276 1.9345
0.0000 2.0276 1.9345
2.0276 0.0000 1.9345
2.0276 2.0276 0.0000
```

Values from the calculation:
- Calculated formation energy: 0.879 eV per atom
- DOS(E_F): 7.12 states/eV/f.u.
- Raw total energy: -0.22668 Ha/atom
- SG: P4/mmm (123)

DFT (PBE) results for La4Se5S after structural relaxation.

The structure in POSCAR format:
```
La4Se5S
1.0
-2.1836 4.0570 8.9331
2.1836 -4.0570 8.9331
2.1836 4.0570 -8.9331
La Se S
4 5 1
Cartesian
0.0000 0.0000 3.7763
2.1836 2.0057 0.0000
0.0000 2.0513 8.9331
0.0000 0.0000 14.0899
2.1836 1.9383 -2.9534
2.1836 1.9383 2.9534
0.0000 4.0570 0.0000
0.0000 2.1187 5.9797
0.0000 2.1187 11.8865
0.0000 0.0000 0.0000
```

Values from the calculation:
- Raw total energy: -0.22485 Ha/atom
- SG: Immm (71)
- Energy relative to the elements, uncorrected: -1993 meV per atom

DFT (PBE) results for NbCrSCl2 after structural relaxation.

The structure in POSCAR format:
```
NbCrSCl2
1.0
4.9064 0.0000 0.0000
0.0000 4.9064 0.0000
0.0000 0.0000 4.8361
Nb Cr S Cl
1 1 1 2
Cartesian
0.0000 0.0000 0.0000
2.4532 2.4532 2.4181
0.0000 0.0000 2.4181
0.0000 2.4532 0.0000
2.4532 0.0000 0.0000
```

Values from the calculation:
- DOS(E_F): 2.95 states/eV/f.u.
- Raw total energy: -0.20736 Ha/atom
- SG: P4/mmm (123)
- Energy relative to the elements, uncorrected: -140 meV per atom
- Energy relative to the lowest polymorph listed for this composition: 0 meV per atom